NpAgPb2 | PBE | optimized geometry

Output
space group: P4/mmm, No. 123
energy: -0.2074 Ha/atom
formation energy: 0.1596 eV per atom

Cell lengths 4.823, 4.823, 4.428 Å; angles 90.00, 90.00, 90.00 degrees
Fractional positions:
Np 0.000 0.000 0.000
Ag 0.500 0.500 0.000
Pb 0.000 0.500 0.500
Pb 0.500 0.000 0.500